The following is a DFT calculation (PBE) of RbCdAs2Pb after structural relaxation.

abc: 8.499 8.499 11.421
angles: 125.24 125.24 31.29
Positions (direct):
Rb1 0.184 0.184 0.124
Rb2 0.816 0.816 0.876
Cd1 0.058 0.058 0.690
Cd2 0.942 0.942 0.310
As1 0.165 0.165 0.572
As2 0.424 0.424 0.170
As3 0.576 0.576 0.830
As4 0.835 0.835 0.428
Pb1 0.365 0.365 0.602
Pb2 0.635 0.635 0.398

Results
Total magnetization = 0.00 μB/cell
Raw total energy = -3.162 eV per atom
Volume = 343.0 Å³ per cell
Formation enthalpy at 0 K = -0.9 eV per formula unit



The following is a DFT calculation (PBE) of Sr2CaLaPt after structural relaxation.

abc: 6.088 6.088 5.638
angles: 90.00 90.00 90.00
Positions (direct):
Sr1 0.000 0.500 0.000
Sr2 0.500 0.000 0.000
Ca1 0.000 0.000 0.500
La1 0.500 0.500 0.500
Pt1 0.500 0.500 0.000

Results
Total magnetization = 0.00 μB/cell
Raw total energy = -3.682 eV per atom
Volume = 208.9 Å³ per cell
Formation enthalpy at 0 K = -2.1 eV per formula unit